[1]
Compound: Pr3Dy5Tm
Source: the Alexandria database
Functional: GGA-PBE
Structure: optimized geometry

a b c (Å): 9.569 9.569 11.715
angles (deg): 52.51 52.51 73.07
Element x y z (fractional)
Pr  0.698  0.698  0.810
Pr  0.662  0.662  0.361
Pr  0.000  0.000  0.000
Pr  0.000  0.000  0.500
Pr  0.302  0.302  0.190
Pr  0.338  0.338  0.639
Dy  0.843  0.341  0.247
Dy  0.256  0.744  0.000
Dy  0.814  0.814  0.964
Dy  0.492  0.492  0.227
Dy  0.508  0.508  0.773
Dy  0.186  0.186  0.036
Dy  0.341  0.843  0.247
Dy  0.744  0.256  0.000
Dy  0.157  0.659  0.753
Dy  0.659  0.157  0.753
Tm  0.149  0.149  0.604
Tm  0.851  0.851  0.396

Results
**Space-group type**: No. 12
**Density**: 6.96 Mg/m³
**DFT total energy**: -4.12 eV per atom
**Size of the total moment**: 0.00 μB per cell

***

[2]
Compound: PrDy8Tm2
Source: the Alexandria database
Functional: GGA-PBE
Structure: optimized geometry

a b c (Å): 5.511 10.189 10.189
angles (deg): 39.63 92.74 92.74
Element x y z (fractional)
Pr  0.000  0.000  0.000
Dy  0.268  0.132  0.598
Dy  0.268  0.598  0.132
Dy  0.732  0.868  0.402
Dy  0.238  0.547  0.547
Dy  0.732  0.402  0.868
Dy  0.233  0.189  0.189
Dy  0.767  0.811  0.811
Dy  0.762  0.453  0.453
Tm  0.749  0.285  0.285
Tm  0.251  0.715  0.715

Results
**Space-group type**: No. 12
**Density**: 8.11 Mg/m³
**DFT total energy**: -4.45 eV per atom
**Energy relative to the lowest polymorph listed for this composition**: 0.027 eV/atom
**Size of the total moment**: 0.00 μB per cell

***

[3]
Compound: Pr2Dy7Tm2
Source: the Alexandria database
Functional: GGA-PBE
Structure: optimized geometry

a b c (Å): 6.041 8.613 8.613
angles (deg): 83.24 63.81 63.81
Element x y z (fractional)
Pr  0.135  0.230  0.230
Pr  0.865  0.770  0.770
Dy  0.175  0.060  0.590
Dy  0.825  0.410  0.940
Dy  0.825  0.940  0.410
Dy  0.175  0.590  0.060
Dy  0.000  0.000  0.000
Dy  0.629  0.585  0.585
Dy  0.371  0.415  0.415
Tm  0.500  0.220  0.780
Tm  0.500  0.780  0.220

Results
**Space-group type**: No. 12
**Density**: 8.12 Mg/m³
**DFT total energy**: -4.46 eV per atom
**Energy relative to the lowest polymorph listed for this composition**: 0.023 eV/atom
**Size of the total moment**: 0.00 μB per cell

***

[4]
Compound: Pr4Dy3Tm
Source: the Alexandria database
Functional: GGA-PBE
Structure: optimized geometry

a b c (Å): 6.324 7.352 11.663
angles (deg): 90.00 90.00 90.00
Element x y z (fractional)
Pr  0.149  0.871  0.000
Pr  0.642  0.128  0.000
Pr  0.984  0.129  0.247
Pr  0.484  0.871  0.253
Pr  0.142  0.872  0.500
Pr  0.649  0.129  0.500
Pr  0.484  0.871  0.747
Pr  0.984  0.129  0.753
Dy  0.649  0.621  0.000
Dy  0.980  0.620  0.250
Dy  0.480  0.380  0.250
Dy  0.149  0.379  0.500
Dy  0.480  0.380  0.750
Dy  0.980  0.620  0.750
Tm  0.147  0.382  0.000
Tm  0.647  0.618  0.500

Results
**Space-group type**: No. 31
**Density**: 7.47 Mg/m³
**DFT total energy**: -4.64 eV per atom
**Energy relative to the lowest polymorph listed for this composition**: 0.000 eV/atom
**Size of the total moment**: 0.00 μB per cell

***

[5]
Compound: PrDy2Tm7
Source: the Alexandria database
Functional: GGA-PBE
Structure: optimized geometry

a b c (Å): 5.533 9.143 9.143
angles (deg): 123.56 90.00 90.00
Element x y z (fractional)
Pr  0.000  0.000  0.000
Dy  0.500  0.703  0.297
Dy  0.500  0.297  0.703
Tm  0.000  0.787  0.213
Tm  0.000  0.213  0.787
Tm  0.500  0.061  0.291
Tm  0.500  0.939  0.709
Tm  0.500  0.291  0.061
Tm  0.500  0.709  0.939
Tm  0.500  0.500  0.500

Results
**Space-group type**: No. 65
**Density**: 7.10 Mg/m³
**DFT total energy**: -3.81 eV per atom
**Energy relative to the lowest polymorph listed for this composition**: 0.667 eV/atom
**Size of the total moment**: 0.00 μB per cell

***

[6]
Compound: PrDy8Tm4
Source: the Alexandria database
Functional: GGA-PBE
Structure: optimized geometry

a b c (Å): 7.250 7.250 9.961
angles (deg): 90.00 111.34 120.00
Element x y z (fractional)
Pr  0.000  0.500  0.500
Dy  0.564  0.782  0.346
Dy  0.436  0.218  0.654
Dy  0.498  0.249  0.301
Dy  0.948  0.197  0.699
Dy  0.502  0.751  0.699
Dy  0.948  0.751  0.699
Dy  0.052  0.249  0.301
Dy  0.052  0.803  0.301
Tm  0.000  0.000  0.000
Tm  0.000  0.500  0.000
Tm  0.500  0.500  0.000
Tm  0.500  0.000  0.000

Results
**Space-group type**: No. 166
**Density**: 8.54 Mg/m³
**DFT total energy**: -4.38 eV per atom
**Size of the total moment**: 0.00 μB per cell